Below is KCdIn2H at its PBEsol-relaxed geometry, with properties calculated at the SCAN level.

CIF file:
```
data_KCdIn2H
_space_group_name_H-M_alt 'P 1'
_space_group_IT_number 1
_cell_length_a 5.9596
_cell_length_b 5.9596
_cell_length_c 3.6139
_cell_angle_alpha 90.00
_cell_angle_beta 90.00
_cell_angle_gamma 90.00
loop_
_space_group_symop_operation_xyz
'x,y,z'
loop_
_atom_site_label
_atom_site_type_symbol
_atom_site_fract_x
_atom_site_fract_y
_atom_site_fract_z
K1 K 0.0000 0.0000 0.0000
Cd1 Cd 0.5000 0.5000 0.5000
In1 In 0.0000 0.5000 0.5000
In2 In 0.5000 0.0000 0.5000
H1 H 0.5000 0.5000 0.0000
```

Total magnetic moment = 0.000 μB/atom
Calculated total energy = -107.81 eV for the cell shown
SG = P4/mmm (123)

---

Below is ScPPtCl2 at its PBEsol-relaxed geometry, with properties calculated at the SCAN level.

CIF file:
```
data_ScPPtCl2
_space_group_name_H-M_alt 'P 1'
_space_group_IT_number 1
_cell_length_a 4.6671
_cell_length_b 4.6671
_cell_length_c 4.8316
_cell_angle_alpha 90.00
_cell_angle_beta 90.00
_cell_angle_gamma 90.00
loop_
_space_group_symop_operation_xyz
'x,y,z'
loop_
_atom_site_label
_atom_site_type_symbol
_atom_site_fract_x
_atom_site_fract_y
_atom_site_fract_z
Sc1 Sc 0.0000 0.0000 0.0000
P1 P 0.5000 0.5000 0.0000
Pt1 Pt 0.5000 0.5000 0.5000
Cl1 Cl 0.0000 0.5000 0.5000
Cl2 Cl 0.5000 0.0000 0.5000
```

Total magnetic moment = 0.000 μB/atom
ΔE_f (raw) = -0.163 eV per atom
SG = P4/mmm (123)

---

Below is Nb3AlCr8 at its PBEsol-relaxed geometry, with properties calculated at the SCAN level.

CIF file:
```
data_Nb3AlCr8
_space_group_name_H-M_alt 'P 1'
_space_group_IT_number 1
_cell_length_a 4.8167
_cell_length_b 4.8167
_cell_length_c 7.9111
_cell_angle_alpha 90.00
_cell_angle_beta 90.00
_cell_angle_gamma 120.00
loop_
_space_group_symop_operation_xyz
'x,y,z'
loop_
_atom_site_label
_atom_site_type_symbol
_atom_site_fract_x
_atom_site_fract_y
_atom_site_fract_z
Nb1 Nb 0.0000 0.0000 0.0000
Nb2 Nb 0.0000 0.0000 0.3829
Nb3 Nb 0.6667 0.3333 0.5077
Al1 Al 0.6667 0.3333 0.8793
Cr1 Cr 0.1648 0.3296 0.6955
Cr2 Cr 0.1648 0.8352 0.6955
Cr3 Cr 0.3333 0.6667 0.4440
Cr4 Cr 0.3333 0.6667 0.9453
Cr5 Cr 0.5038 0.0075 0.1913
Cr6 Cr 0.5038 0.4962 0.1913
Cr7 Cr 0.6704 0.8352 0.6955
Cr8 Cr 0.9925 0.4962 0.1913
```

Calculated formation energy = -0.42 eV per formula unit
Total magnetic moment = 0.000 μB/atom
SG = P3m1 (156)
Energy relative to the lowest polymorph listed for this composition = 0.023 eV per atom

---

Below is Zr2Be2Ag at its PBEsol-relaxed geometry, with properties calculated at the SCAN level.

CIF file:
```
data_Zr2Be2Ag
_space_group_name_H-M_alt 'P 1'
_space_group_IT_number 1
_cell_length_a 6.3465
_cell_length_b 6.3465
_cell_length_c 3.8454
_cell_angle_alpha 90.00
_cell_angle_beta 90.00
_cell_angle_gamma 90.00
loop_
_space_group_symop_operation_xyz
'x,y,z'
loop_
_atom_site_label
_atom_site_type_symbol
_atom_site_fract_x
_atom_site_fract_y
_atom_site_fract_z
Zr1 Zr 0.1710 0.3290 0.0000
Zr2 Zr 0.3290 0.8290 0.0000
Zr3 Zr 0.6710 0.1710 0.0000
Zr4 Zr 0.8290 0.6710 0.0000
Be1 Be 0.1234 0.6234 0.5000
Be2 Be 0.3766 0.1234 0.5000
Be3 Be 0.6234 0.8766 0.5000
Be4 Be 0.8766 0.3766 0.5000
Ag1 Ag 0.0000 0.0000 0.5000
Ag2 Ag 0.5000 0.5000 0.5000
```

Calculated formation energy = -1.05 eV per formula unit
Total magnetic moment = 0.000 μB/atom
SG = P4/mbm (127)

---

Below is Mn5Co at its PBEsol-relaxed geometry, with properties calculated at the SCAN level.

CIF file:
```
data_Mn5Co
_space_group_name_H-M_alt 'P 1'
_space_group_IT_number 1
_cell_length_a 4.6238
_cell_length_b 4.6238
_cell_length_c 5.7952
_cell_angle_alpha 103.61
_cell_angle_beta 103.61
_cell_angle_gamma 30.55
loop_
_space_group_symop_operation_xyz
'x,y,z'
loop_
_atom_site_label
_atom_site_type_symbol
_atom_site_fract_x
_atom_site_fract_y
_atom_site_fract_z
Mn1 Mn 0.0000 0.0000 0.0000
Mn2 Mn 0.0572 0.0572 0.6149
Mn3 Mn 0.3901 0.3901 0.2826
Mn4 Mn 0.6697 0.6697 0.3323
Mn5 Mn 0.7265 0.7265 0.9470
Co1 Co 0.3348 0.3348 0.6691
```

Calculated formation energy = 1.29 eV per formula unit
Total magnetic moment = 0.000 μB/atom
SG = Cm (8)
Energy relative to the lowest polymorph listed for this composition = 0.185 eV per atom

---

Below is CuTeBr at its PBEsol-relaxed geometry, with properties calculated at the SCAN level.

CIF file:
```
data_CuTeBr
_space_group_name_H-M_alt 'P 1'
_space_group_IT_number 1
_cell_length_a 15.8281
_cell_length_b 11.4730
_cell_length_c 11.4668
_cell_angle_alpha 87.26
_cell_angle_beta 46.39
_cell_angle_gamma 46.35
loop_
_space_group_symop_operation_xyz
'x,y,z'
loop_
_atom_site_label
_atom_site_type_symbol
_atom_site_fract_x
_atom_site_fract_y
_atom_site_fract_z
Cu1 Cu 0.0103 0.7397 0.0103
Cu2 Cu 0.1250 0.1250 0.1250
Cu3 Cu 0.2603 0.9897 0.2603
Cu4 Cu 0.3750 0.3750 0.3750
Cu5 Cu 0.6250 0.6250 0.6250
Cu6 Cu 0.7397 0.0103 0.7397
Cu7 Cu 0.8750 0.8750 0.8750
Cu8 Cu 0.9897 0.2603 0.9897
Te1 Te 0.0166 0.3416 0.6189
Te2 Te 0.3416 0.0166 0.5228
Te3 Te 0.3811 0.4772 0.9834
Te4 Te 0.4772 0.3811 0.6584
Te5 Te 0.5228 0.6189 0.3416
Te6 Te 0.6189 0.5228 0.0166
Te7 Te 0.6584 0.9834 0.4772
Te8 Te 0.9834 0.6584 0.3811
Br1 Br 0.1234 0.4922 0.7587
Br2 Br 0.1258 0.7587 0.4922
Br3 Br 0.2413 0.8742 0.8766
Br4 Br 0.4922 0.1234 0.1258
Br5 Br 0.5078 0.8766 0.8742
Br6 Br 0.7587 0.1258 0.1234
Br7 Br 0.8742 0.2413 0.5078
Br8 Br 0.8766 0.5078 0.2413
```

Total magnetic moment = 0.000 μB/atom
ΔE_f (raw) = -0.242 eV per atom
SG = Fddd (70)

---

Below is ErCdAg2 at its PBEsol-relaxed geometry, with properties calculated at the SCAN level.

CIF file:
```
data_ErCdAg2
_space_group_name_H-M_alt 'P 1'
_space_group_IT_number 1
_cell_length_a 4.8070
_cell_length_b 4.8070
_cell_length_c 4.8070
_cell_angle_alpha 60.00
_cell_angle_beta 60.00
_cell_angle_gamma 60.00
loop_
_space_group_symop_operation_xyz
'x,y,z'
loop_
_atom_site_label
_atom_site_type_symbol
_atom_site_fract_x
_atom_site_fract_y
_atom_site_fract_z
Er1 Er 0.0000 0.0000 0.0000
Cd1 Cd 0.5000 0.5000 0.5000
Ag1 Ag 0.2500 0.2500 0.2500
Ag2 Ag 0.7500 0.7500 0.7500
```

Calculated formation energy = -1.25 eV per formula unit
Total magnetic moment = 0.000 μB/atom
SG = Fm-3m (225)

---

Below is LiY2Tc at its PBEsol-relaxed geometry, with properties calculated at the SCAN level.

CIF file:
```
data_LiY2Tc
_space_group_name_H-M_alt 'P 1'
_space_group_IT_number 1
_cell_length_a 4.2159
_cell_length_b 4.2159
_cell_length_c 7.7707
_cell_angle_alpha 96.67
_cell_angle_beta 96.67
_cell_angle_gamma 46.66
loop_
_space_group_symop_operation_xyz
'x,y,z'
loop_
_atom_site_label
_atom_site_type_symbol
_atom_site_fract_x
_atom_site_fract_y
_atom_site_fract_z
Li1 Li 0.0000 0.0000 0.0000
Y1 Y 0.2319 0.2319 0.6959
Y2 Y 0.7681 0.7681 0.3041
Tc1 Tc 0.5000 0.5000 0.5000
```

Calculated formation energy = 0.93 eV per formula unit
Total magnetic moment = 0.018 μB/atom
SG = C2/m (12)

---

Below is ScTlAg2 at its PBEsol-relaxed geometry, with properties calculated at the SCAN level.

CIF file:
```
data_ScTlAg2
_space_group_name_H-M_alt 'P 1'
_space_group_IT_number 1
_cell_length_a 4.2907
_cell_length_b 4.2907
_cell_length_c 4.2468
_cell_angle_alpha 90.00
_cell_angle_beta 90.00
_cell_angle_gamma 90.00
loop_
_space_group_symop_operation_xyz
'x,y,z'
loop_
_atom_site_label
_atom_site_type_symbol
_atom_site_fract_x
_atom_site_fract_y
_atom_site_fract_z
Sc1 Sc 0.0000 0.0000 0.0000
Tl1 Tl 0.5000 0.5000 0.0000
Ag1 Ag 0.0000 0.5000 0.5000
Ag2 Ag 0.5000 0.0000 0.5000
```

Calculated formation energy = -0.57 eV per formula unit
Total magnetic moment = 0.000 μB/atom
SG = P4/mmm (123)

---

Below is CdAsPtBr2 at its PBEsol-relaxed geometry, with properties calculated at the SCAN level.

CIF file:
```
data_CdAsPtBr2
_space_group_name_H-M_alt 'P 1'
_space_group_IT_number 1
_cell_length_a 5.0975
_cell_length_b 5.0975
_cell_length_c 5.2938
_cell_angle_alpha 90.00
_cell_angle_beta 90.00
_cell_angle_gamma 90.00
loop_
_space_group_symop_operation_xyz
'x,y,z'
loop_
_atom_site_label
_atom_site_type_symbol
_atom_site_fract_x
_atom_site_fract_y
_atom_site_fract_z
Cd1 Cd 0.0000 0.0000 0.0000
As1 As 0.5000 0.5000 0.5000
Pt1 Pt 0.0000 0.0000 0.5000
Br1 Br 0.0000 0.5000 0.0000
Br2 Br 0.5000 0.0000 0.0000
```

Total magnetic moment = 0.221 μB/atom
ΔE_f (raw) = 0.825 eV per atom
SG = P4/mmm (123)

---

Below is CsRb2Br2 at its PBEsol-relaxed geometry, with properties calculated at the SCAN level.

CIF file:
```
data_CsRb2Br2
_space_group_name_H-M_alt 'P 1'
_space_group_IT_number 1
_cell_length_a 8.4159
_cell_length_b 8.4159
_cell_length_c 8.4159
_cell_angle_alpha 136.42
_cell_angle_beta 136.42
_cell_angle_gamma 63.33
loop_
_space_group_symop_operation_xyz
'x,y,z'
loop_
_atom_site_label
_atom_site_type_symbol
_atom_site_fract_x
_atom_site_fract_y
_atom_site_fract_z
Cs1 Cs 0.0000 0.0000 0.0000
Rb1 Rb 0.3264 0.3264 0.0000
Rb2 Rb 0.6736 0.6736 0.0000
Br1 Br 0.2500 0.7500 0.5000
Br2 Br 0.7500 0.2500 0.5000
```

Total magnetic moment = 0.000 μB/atom
ΔE_f (raw) = -1.406 eV per atom
SG = I4/mmm (139)

---

Below is KHfH2OF5 at its PBEsol-relaxed geometry, with properties calculated at the SCAN level.

CIF file:
```
data_KHfH2OF5
_space_group_name_H-M_alt 'P 1'
_space_group_IT_number 1
_cell_length_a 7.4699
_cell_length_b 12.0836
_cell_length_c 10.9403
_cell_angle_alpha 90.00
_cell_angle_beta 97.33
_cell_angle_gamma 90.00
loop_
_space_group_symop_operation_xyz
'x,y,z'
loop_
_atom_site_label
_atom_site_type_symbol
_atom_site_fract_x
_atom_site_fract_y
_atom_site_fract_z
K1 K 0.1989 0.0405 0.1442
K2 K 0.1989 0.4595 0.6442
K3 K 0.2918 0.0239 0.6222
K4 K 0.2918 0.4761 0.1222
K5 K 0.7082 0.5239 0.8778
K6 K 0.7082 0.9761 0.3778
K7 K 0.8011 0.5405 0.3558
K8 K 0.8011 0.9595 0.8558
Hf1 Hf 0.0201 0.2349 0.3780
Hf2 Hf 0.0201 0.2651 0.8780
Hf3 Hf 0.4666 0.2410 0.3893
Hf4 Hf 0.4666 0.2590 0.8893
Hf5 Hf 0.5334 0.7410 0.1107
Hf6 Hf 0.5334 0.7590 0.6107
Hf7 Hf 0.9799 0.7349 0.1220
Hf8 Hf 0.9799 0.7651 0.6220
H1 H 0.0820 0.6538 0.8521
H2 H 0.0820 0.8462 0.3521
H3 H 0.2562 0.6578 0.7737
H4 H 0.2562 0.8422 0.2737
H5 H 0.2577 0.6464 0.4679
H6 H 0.2577 0.8536 0.9679
H7 H 0.4233 0.6495 0.3817
H8 H 0.4233 0.8505 0.8817
H9 H 0.5767 0.1495 0.1183
H10 H 0.5767 0.3505 0.6183
H11 H 0.7423 0.1464 0.0321
H12 H 0.7423 0.3536 0.5321
H13 H 0.7438 0.1578 0.7263
H14 H 0.7438 0.3422 0.2263
H15 H 0.9180 0.1538 0.6479
H16 H 0.9180 0.3462 0.1479
O1 O 0.1222 0.6577 0.7676
O2 O 0.1222 0.8423 0.2676
O3 O 0.3914 0.6474 0.4682
O4 O 0.3914 0.8526 0.9682
O5 O 0.6086 0.1474 0.0318
O6 O 0.6086 0.3526 0.5318
O7 O 0.8778 0.1577 0.7324
O8 O 0.8778 0.3423 0.2324
F1 F 0.0057 0.1409 0.5286
F2 F 0.0057 0.3591 0.0286
F3 F 0.0522 0.6333 0.5212
F4 F 0.0522 0.8667 0.0212
F5 F 0.0594 0.6150 0.2408
F6 F 0.0594 0.8850 0.7408
F7 F 0.2144 0.2039 0.7722
F8 F 0.2144 0.2961 0.2722
F9 F 0.2458 0.1246 0.3829
F10 F 0.2458 0.3754 0.8829
F11 F 0.2561 0.7167 0.1137
F12 F 0.2561 0.7833 0.6137
F13 F 0.2704 0.2017 0.9930
F14 F 0.2704 0.2983 0.4930
F15 F 0.4586 0.6283 0.9825
F16 F 0.4593 0.6300 0.7116
F17 F 0.4593 0.8700 0.2116
F18 F 0.4586 0.8717 0.4825
F19 F 0.4899 0.1427 0.2420
F20 F 0.4899 0.3573 0.7420
F21 F 0.5101 0.6427 0.2580
F22 F 0.5101 0.8573 0.7580
F23 F 0.5414 0.1283 0.5175
F24 F 0.5407 0.1300 0.7884
F25 F 0.5407 0.3700 0.2884
F26 F 0.5414 0.3717 0.0175
F27 F 0.7296 0.7017 0.5070
F28 F 0.7296 0.7983 0.0070
F29 F 0.7439 0.2167 0.3863
F30 F 0.7439 0.2833 0.8863
F31 F 0.7542 0.6246 0.1171
F32 F 0.7542 0.8754 0.6171
F33 F 0.7856 0.7039 0.7278
F34 F 0.7856 0.7961 0.2278
F35 F 0.9406 0.1150 0.2592
F36 F 0.9406 0.3850 0.7592
F37 F 0.9478 0.1333 0.9788
F38 F 0.9478 0.3667 0.4788
F39 F 0.9943 0.6409 0.9714
F40 F 0.9943 0.8591 0.4714
```

Total magnetic moment = 0.005 μB/atom
Calculated total energy = -1054.64 eV for the cell shown
SG = P2_1/c (14)